Compound: Tb2PrMoO8
Source: Alexandria via LeMat-Bulk
Functional: PBE+U
Structure: relaxed

Magnetic moment = 0.08 μB/atom
Symmetry = Cmmm (65)
E = -7.6905 eV per atom

a b c (Å): 5.0870 5.0865 7.0016
angles (deg): 90.00 90.00 90.34
Closest atoms and distances in Å follow each position.
Element x y z (fractional)
Tb (0.5000, 0.5000, 0.7583)  6 O 2.23-2.34
Tb (0.5000, 0.5000, 0.2417)  6 O 2.23-2.34
Pr (0.0000, 0.0000, 0.5000)  6 O 2.28-2.46
Mo (0.0000, 0.0000, 0.0000)  6 O 1.95-1.96
O (0.1838, 0.8157, 0.2038)  1 Mo 1.95
O (0.7258, 0.7263, 0.0000)  1 Mo 1.96
O (0.8162, 0.1843, 0.2038)  1 Mo 1.95
O (0.8162, 0.1843, 0.7962)  1 Mo 1.95
O (0.2742, 0.2737, 0.0000)  1 Mo 1.96
O (0.1838, 0.8157, 0.7962)  1 Mo 1.95
O (0.6816, 0.6821, 0.5000)  2 Tb 2.23, 1 Pr 2.28
O (0.3184, 0.3179, 0.5000)  2 Tb 2.23, 1 Pr 2.28